# Ce2MgBi4 (PBE, relaxed)
data_Ce2MgBi4
_symmetry_space_group_name_H-M 'P -4 m 2'
_symmetry_Int_Tables_number 115
_symmetry_space_group_name_Hall 'P -4 -2'
_cell_length_a 4.519
_cell_length_b 4.519
_cell_length_c 10.928
_cell_angle_alpha 90.00
_cell_angle_beta 90.00
_cell_angle_gamma 90.00
loop_
_atom_site_label
_atom_site_fract_x
_atom_site_fract_y
_atom_site_fract_z
Ce1 0.000 0.500 0.235
Mg1 0.000 0.000 0.500
Bi1 0.000 0.000 0.000
Bi2 0.000 0.500 0.676
Bi3 0.500 0.500 0.000
# E_tot ... -32.60 eV/f.u.
# Volume ... 31.9 Å³/atom
# ΔE_f ... -0.52 eV/atom